Below is a relaxed IrPtRh2 crystal, with properties calculated at the PBEsol level.

Formation energy: -0.009 eV per atom
Raw total energy: -33.098 eV per cell
DOS(E_F): 4.53 states/eV/f.u.
Total moment: 0.00 μB/f.u.

Unit cell a=4.679 b=4.679 c=4.684 alpha=99.53 beta=99.53 gamma=33.60
Sites, in units of the cell vectors:
Ir  0.000  0.000  0.000
Pt  0.500  0.500  0.500
Rh  0.253  0.253  0.756
Rh  0.747  0.747  0.244

***

Below is a relaxed IrPt2Rh crystal, with properties calculated at the PBEsol level.

Formation energy: 0.042 eV per atom
Raw total energy: -31.719 eV per cell
DOS(E_F): 5.78 states/eV/f.u.
Total moment: 0.00 μB/f.u.

Unit cell a=8.970 b=8.970 c=8.970 alpha=17.58 beta=17.58 gamma=17.58
Sites, in units of the cell vectors:
Ir  0.000  0.000  0.000
Pt  0.250  0.250  0.250
Pt  0.750  0.750  0.750
Rh  0.500  0.500  0.500

***

Below is a relaxed Ir2PtRh crystal, with properties calculated at the PBEsol level.

Formation energy: 0.044 eV per atom
Raw total energy: -34.574 eV per cell
DOS(E_F): 4.94 states/eV/f.u.
Total moment: 0.00 μB/f.u.

Unit cell a=3.832 b=3.832 c=3.844 alpha=90.00 beta=90.00 gamma=90.00
Sites, in units of the cell vectors:
Ir  0.000  0.500  0.000
Ir  0.500  0.000  0.000
Pt  0.000  0.000  0.500
Rh  0.500  0.500  0.500

***

Which value of DOS(E_F) does entry 1 give?
4.53 states/eV/f.u.